(1)
RbLi2CrCl6: relaxed, PBE-GGA.

Structure (POSCAR):
```
RbLi2CrCl6
1.0
-5.938 -4.546 -2.820
-2.276 -5.741 6.807
-7.778 4.558 1.789
Rb Li Cr Cl
2 4 2 12
direct
0.250 0.868 0.132
0.750 0.132 0.868
0.350 0.642 0.519
0.150 0.481 0.358
0.650 0.358 0.481
0.850 0.519 0.642
0.250 0.212 0.788
0.750 0.788 0.212
0.190 0.992 0.784
0.310 0.216 0.008
0.810 0.008 0.216
0.690 0.784 0.992
0.475 0.852 0.382
0.025 0.618 0.148
0.525 0.148 0.618
0.975 0.382 0.852
0.035 0.685 0.545
0.465 0.455 0.315
0.965 0.315 0.455
0.535 0.545 0.685
```

Results
Energy relative to the elements, uncorrected ... -1.446 eV/atom
E ... -39.96 eV per formula unit
ρ ... 1942 kg/m³

(2)
Li3Ca4Cd: relaxed, PBE-GGA.

Structure (POSCAR):
```
Li3Ca4Cd
1.0
-3.648 -0.690 -1.435
-1.093 -2.744 4.099
-4.152 10.144 5.683
Li Ca Cd
3 4 1
direct
0.000 0.500 0.568
0.000 0.000 0.431
0.500 0.000 0.934
0.500 0.500 0.341
0.000 0.500 0.853
0.000 0.000 0.149
0.500 0.000 0.655
0.500 0.500 0.068
```

Results
E ... -15.22 eV per formula unit
ρ ... 1963 kg/m³
ΔH_f (0 K) ... -0.070 eV per atom

Which value of ρ does entry 2 give?
1963 kg/m³

Which formula does entry 1 have?
RbLi2CrCl6

Please write out number 2 again, unchanged.
Li3Ca4Cd: relaxed, PBE-GGA.

Structure (POSCAR):
```
Li3Ca4Cd
1.0
-3.648 -0.690 -1.435
-1.093 -2.744 4.099
-4.152 10.144 5.683
Li Ca Cd
3 4 1
direct
0.000 0.500 0.568
0.000 0.000 0.431
0.500 0.000 0.934
0.500 0.500 0.341
0.000 0.500 0.853
0.000 0.000 0.149
0.500 0.000 0.655
0.500 0.500 0.068
```

Results
E ... -15.22 eV per formula unit
ρ ... 1963 kg/m³
ΔH_f (0 K) ... -0.070 eV per atom

Which of these has the lowest E?
RbLi2CrCl6